Compound: Ac4ZnSn
Source: Alexandria via LeMat-Bulk
Functional: GGA-PBE
Structure: relaxed

Calculated values
* crystal system: cubic
* N(E_F): 1.4496 states/eV per atom
* formation energy: -0.263 eV/atom

Unit cell a=10.7656 b=10.7656 c=10.7656 alpha=60.00 beta=60.00 gamma=60.00
Closest atoms and distances in Å follow each position.
Fractional coordinates of all 24 atoms:
Ac1 0.3620 0.3620 0.3620  3 Zn 3.32, 3 Sn 3.59
Ac2 0.9140 0.3620 0.3620  3 Zn 3.32, 3 Sn 3.59
Ac3 0.3620 0.9140 0.3620  3 Zn 3.32, 3 Sn 3.59
Ac4 0.3620 0.3620 0.9140  3 Zn 3.32, 3 Sn 3.59
Ac5 0.5626 0.5626 0.9374  2 Sn 3.54, 2 Zn 3.89, 2 Ac 3.89
Ac6 0.9374 0.9374 0.5626  2 Sn 3.54, 2 Zn 3.89, 2 Ac 3.89
Ac7 0.5626 0.9374 0.5626  2 Sn 3.54, 2 Zn 3.89, 2 Ac 3.89
Ac8 0.9374 0.5626 0.9374  2 Sn 3.54, 2 Zn 3.89, 2 Ac 3.89
Ac9 0.9374 0.5626 0.5626  2 Sn 3.54, 2 Zn 3.89, 2 Ac 3.89
Ac10 0.5626 0.9374 0.9374  2 Sn 3.54, 2 Zn 3.89, 2 Ac 3.89
Ac11 0.1987 0.1987 0.8013  2 Zn 3.22
Ac12 0.8013 0.8013 0.1987  2 Zn 3.22
Ac13 0.1987 0.8013 0.1987  2 Zn 3.22
Ac14 0.8013 0.1987 0.8013  2 Zn 3.22
Ac15 0.8013 0.1987 0.1987  2 Zn 3.22
Ac16 0.1987 0.8013 0.8013  2 Zn 3.22
Zn1 0.1443 0.1443 0.1443  6 Ac 3.22-3.32
Zn2 0.5671 0.1443 0.1443  6 Ac 3.22-3.32
Zn3 0.1443 0.5671 0.1443  6 Ac 3.22-3.32
Zn4 0.1443 0.1443 0.5671  6 Ac 3.22-3.32
Sn1 0.5863 0.5863 0.5863  9 Ac 3.54-3.76, 3 Sn 3.72
Sn2 0.2411 0.5863 0.5863  9 Ac 3.54-3.76, 3 Sn 3.72
Sn3 0.5863 0.2411 0.5863  9 Ac 3.54-3.76, 3 Sn 3.72
Sn4 0.5863 0.5863 0.2411  9 Ac 3.54-3.76, 3 Sn 3.72